No. 1
Here is AsH2Rh at its PBEsol-relaxed geometry from the Alexandria database. Energies are from SCAN.

Computed properties:
Uncorrected energy ... -14.4580 eV per atom

Unit cell a=5.3111 b=5.3111 c=5.3111 alpha=90.00 beta=90.00 gamma=90.00
Closest atoms and distances in Å follow each position.
Atoms (fractional coordinates):
As 0.0000 0.0000 0.0000  8 H 2.30
As 0.0000 0.5000 0.5000  8 H 2.30
As 0.5000 0.0000 0.5000  8 H 2.30
As 0.5000 0.5000 0.0000  8 H 2.30
H 0.2500 0.2500 0.2500  4 As 2.30, 4 Rh 2.30
H 0.2500 0.2500 0.7500  4 As 2.30, 4 Rh 2.30
H 0.2500 0.7500 0.2500  4 As 2.30, 4 Rh 2.30
H 0.2500 0.7500 0.7500  4 As 2.30, 4 Rh 2.30
H 0.7500 0.2500 0.2500  4 As 2.30, 4 Rh 2.30
H 0.7500 0.2500 0.7500  4 As 2.30, 4 Rh 2.30
H 0.7500 0.7500 0.2500  4 As 2.30, 4 Rh 2.30
H 0.7500 0.7500 0.7500  4 As 2.30, 4 Rh 2.30
Rh 0.0000 0.0000 0.5000  8 H 2.30
Rh 0.0000 0.5000 0.0000  8 H 2.30
Rh 0.5000 0.0000 0.0000  8 H 2.30
Rh 0.5000 0.5000 0.5000  8 H 2.30


No. 2
Here is BaGe3Pt at its PBEsol-relaxed geometry from the Alexandria database. Energies are from SCAN.

Computed properties:
Uncorrected energy ... -34.1558 eV per atom
Energy relative to the elements ... -0.7545 eV/atom

Unit cell a=4.5557 b=4.5557 c=10.1972 alpha=90.00 beta=90.00 gamma=90.00
Closest atoms and distances in Å follow each position.
Atoms (fractional coordinates):
Ba 0.0000 0.0000 0.0000  12 Ge 3.38-3.45, 5 Pt 3.56-3.59
Ba 0.5000 0.5000 0.5000  12 Ge 3.38-3.45, 5 Pt 3.56-3.59
Ge 0.0000 0.0000 0.5995  1 Pt 2.52, 4 Ge 2.72
Ge 0.0000 0.5000 0.2459  2 Pt 2.52, 2 Ge 2.72
Ge 0.0000 0.5000 0.7459  2 Pt 2.52, 2 Ge 2.72
Ge 0.5000 0.0000 0.2459  2 Pt 2.52, 2 Ge 2.72
Ge 0.5000 0.0000 0.7459  2 Pt 2.52, 2 Ge 2.72
Ge 0.5000 0.5000 0.0995  1 Pt 2.52, 4 Ge 2.72
Pt 0.0000 0.0000 0.3520  5 Ge 2.52
Pt 0.5000 0.5000 0.8520  5 Ge 2.52